(1)
The following is a DFT calculation (SCAN) of a PBEsol-optimized structure of RePt2Rh.

Properties
total magnetic moment	0.00	μB/atom
volume	58	Å³ per cell
ΔE to the lowest computed polymorph	0.0213	eV/atom
formation energy from the elements	-0.138	eV/atom
total DFT energy (no corrections)	-245.81	eV for the cell shown

```
4
Lattice="2.718 0.000 0.000 0.000 3.865 0.000 0.000 0.000 5.477" Properties=species:S:1:pos:R:3 pbc="T T T"
Re 0.000 0.000 2.781
Rh 1.359 1.933 4.040
Pt 0.000 0.000 5.458
Pt 1.359 1.933 1.415
```


(2)
The following is a DFT calculation (SCAN) of a PBEsol-optimized structure of RePtRh2.

Properties
total magnetic moment	0.00	μB/atom
volume	56	Å³ per cell
ΔE to the lowest computed polymorph	0.0614	eV/atom
formation energy from the elements	-0.100	eV/atom
total DFT energy (no corrections)	-209.23	eV for the cell shown

```
4
Lattice="3.837 0.000 0.000 0.000 3.837 0.000 -1.918 -1.918 3.807" Properties=species:S:1:pos:R:3 pbc="T T T"
Rh 0.000 1.918 1.904
Rh 1.918 0.000 1.904
Re 0.000 0.000 0.000
Pt 1.918 1.918 0.000
```